[1]
{
  "formula": "AlReBr",
  "functional": "GGA-PBE",
  "state": "relaxed",
  "cell": [[4.467, 0.000, 0.000], [-2.234, 3.869, 0.000], [0.000, 0.000, 2.920]],
  "species": ["Br", "Re", "Al"],
  "frac_coords": [[0.333, 0.667, 0.500], [0.667, 0.333, 0.500], [0.000, 0.000, 0.000]],
  "total_magnetization_mub_per_atom": 0.0000,
  "energy_ev_per_atom": -5.19,
  "formation_energy_uncorrected_mev_per_atom": 769.2,
  "space_group": "P-6m2 (187)"
}

---

[2]
{
  "formula": "AlReBr2",
  "functional": "GGA-PBE",
  "state": "relaxed",
  "cell": [[1.083, -3.970, 2.243], [-3.376, -2.542, 2.028], [-1.236, -4.136, -1.826]],
  "species": ["Re", "Al", "Br", "Br"],
  "frac_coords": [[0.500, 0.500, 0.500], [0.000, 0.000, 0.000], [0.250, 0.250, 0.250], [0.750, 0.750, 0.750]],
  "total_magnetization_mub_per_atom": 0.0000,
  "energy_ev_per_atom": -3.74,
  "formation_energy_uncorrected_mev_per_atom": 1147.2,
  "space_group": "Fm-3m (225)"
}

---

[3]
{
  "formula": "AlReBr2",
  "functional": "GGA-PBE",
  "state": "relaxed",
  "cell": [[3.340, 0.005, 0.000], [-1.886, 2.757, 0.000], [0.000, 0.000, 9.736]],
  "species": ["Br", "Br", "Al", "Re"],
  "frac_coords": [[0.000, 0.000, 0.932], [0.500, 0.500, 0.318], [0.500, 0.500, 0.730], [0.000, 0.000, 0.520]],
  "total_magnetization_mub_per_atom": 0.0000,
  "energy_ev_per_atom": -4.61,
  "formation_energy_uncorrected_mev_per_atom": 277.9,
  "space_group": "Cmm2 (35)"
}

---

[4]
{
  "formula": "AlReBr2",
  "functional": "GGA-PBE",
  "state": "relaxed",
  "cell": [[-2.341, -4.925, -1.330], [5.296, -0.625, 1.751], [-0.037, -1.864, 2.693]],
  "species": ["Br", "Br", "Re", "Al"],
  "frac_coords": [[0.500, 0.500, 0.000], [0.000, 0.000, 0.000], [0.500, 0.000, 0.500], [0.000, 0.500, 0.500]],
  "total_magnetization_mub_per_atom": 0.5422,
  "energy_ev_per_atom": -3.95,
  "formation_energy_uncorrected_mev_per_atom": 938.4,
  "space_group": "C2/m (12)"
}

---

[5]
{
  "formula": "AlRe2Br",
  "functional": "GGA-PBE",
  "state": "relaxed",
  "cell": [[-1.010, -2.507, 1.009], [2.605, 0.970, 0.773], [-3.750, 4.382, 7.136]],
  "species": ["Al", "Re", "Re", "Br"],
  "frac_coords": [[0.500, 0.500, 0.250], [0.000, 0.000, 0.013], [0.000, 0.000, 0.487], [0.500, 0.500, 0.750]],
  "total_magnetization_mub_per_atom": 0.0000,
  "energy_ev_per_atom": -6.76,
  "formation_energy_uncorrected_mev_per_atom": 819.7,
  "space_group": "Cmmm (65)"
}

---

[6]
{
  "formula": "Al2ReBr",
  "functional": "GGA-PBE",
  "state": "relaxed",
  "cell": [[-2.699, 1.147, -0.745], [0.548, -1.272, 2.691], [2.718, 8.706, 3.561]],
  "species": ["Al", "Al", "Br", "Re"],
  "frac_coords": [[0.000, 0.000, 0.978], [0.500, 0.500, 0.221], [0.000, 0.000, 0.544], [0.500, 0.500, 0.757]],
  "total_magnetization_mub_per_atom": 0.0000,
  "energy_ev_per_atom": -4.88,
  "formation_energy_uncorrected_mev_per_atom": 520.5,
  "space_group": "Cmm2 (35)"
}

---

[7]
{
  "formula": "AlReBr2",
  "functional": "GGA-PBE",
  "state": "relaxed",
  "cell": [[-1.842, 2.142, -1.376], [-2.211, -2.188, -0.448], [-3.460, 1.931, 7.636]],
  "species": ["Al", "Br", "Br", "Re"],
  "frac_coords": [[0.500, 0.500, 0.750], [0.000, 0.000, 0.063], [0.000, 0.000, 0.437], [0.500, 0.500, 0.250]],
  "total_magnetization_mub_per_atom": 0.0013,
  "energy_ev_per_atom": -3.85,
  "formation_energy_uncorrected_mev_per_atom": 1036.3,
  "space_group": "P4/mmm (123)"
}

---

[8]
{
  "formula": "Al3ReBr",
  "functional": "GGA-PBE",
  "state": "relaxed",
  "cell": [[-0.593, 3.845, 2.964], [-3.906, 1.396, -2.592], [-2.884, -2.681, 2.901]],
  "species": ["Al", "Al", "Al", "Br", "Re"],
  "frac_coords": [[0.000, 0.500, 0.000], [0.000, 0.000, 0.500], [0.500, 0.000, 0.000], [0.500, 0.500, 0.500], [0.000, 0.000, 0.000]],
  "total_magnetization_mub_per_atom": 0.0000,
  "energy_ev_per_atom": -4.70,
  "formation_energy_uncorrected_mev_per_atom": 372.0,
  "space_group": "Pm-3m (221)"
}

---

[9]
{
  "formula": "AlReBr",
  "functional": "GGA-PBE",
  "state": "relaxed",
  "cell": [[-1.052, -1.327, 2.518], [1.991, -1.458, -1.766], [5.741, 3.010, 3.985]],
  "species": ["Al", "Re", "Br"],
  "frac_coords": [[0.000, 0.000, 0.003], [0.333, 0.667, 0.752], [0.667, 0.333, 0.245]],
  "total_magnetization_mub_per_atom": 0.0000,
  "energy_ev_per_atom": -5.46,
  "formation_energy_uncorrected_mev_per_atom": 495.0,
  "space_group": "P3m1 (156)"
}

---

[10]
{
  "formula": "AlReBr2",
  "functional": "GGA-PBE",
  "state": "relaxed",
  "cell": [[8.976, 0.000, 0.000], [0.000, 8.976, 0.000], [4.488, 4.488, 2.516]],
  "species": ["Br", "Br", "Br", "Br", "Re", "Re", "Al", "Al"],
  "frac_coords": [[0.375, 0.237, 0.750], [0.875, 0.013, 0.750], [0.987, 0.625, 0.250], [0.763, 0.125, 0.250], [0.000, 0.000, 0.000], [0.750, 0.250, 0.500], [0.500, 0.500, 0.000], [0.250, 0.750, 0.500]],
  "total_magnetization_mub_per_atom": 0.0000,
  "energy_ev_per_atom": -4.38,
  "formation_energy_uncorrected_mev_per_atom": 500.7,
  "space_group": "I-42d (122)"
}

---

[11]
{
  "formula": "Al2ReBr",
  "functional": "GGA-PBE",
  "state": "relaxed",
  "cell": [[-0.286, -1.026, 3.263], [-1.227, -2.950, -1.035], [7.156, -2.902, -0.285]],
  "species": ["Al", "Al", "Br", "Re"],
  "frac_coords": [[0.000, 0.002, 0.873], [0.500, 0.000, 0.212], [0.000, 0.997, 0.448], [0.500, 0.501, 0.968]],
  "total_magnetization_mub_per_atom": 0.0000,
  "energy_ev_per_atom": -5.37,
  "formation_energy_uncorrected_mev_per_atom": 32.8,
  "space_group": "Pm (6)"
}

---

[12]
{
  "formula": "AlRe2Br",
  "functional": "GGA-PBE",
  "state": "relaxed",
  "cell": [[-4.495, 7.413, -4.366], [-6.785, 6.315, -2.882], [-4.949, 8.202, -1.568]],
  "species": ["Re", "Re", "Br", "Al"],
  "frac_coords": [[0.244, 0.244, 0.244], [0.980, 0.980, 0.980], [0.770, 0.770, 0.770], [0.506, 0.506, 0.506]],
  "total_magnetization_mub_per_atom": 0.0000,
  "energy_ev_per_atom": -7.28,
  "formation_energy_uncorrected_mev_per_atom": 300.6,
  "space_group": "R3m (160)"
}

---

[13]
{
  "formula": "Al2ReBr",
  "functional": "GGA-PBE",
  "state": "relaxed",
  "cell": [[-8.678, -4.027, -1.003], [-7.489, -5.968, 0.908], [-8.761, -3.479, 1.917]],
  "species": ["Al", "Al", "Re", "Br"],
  "frac_coords": [[0.260, 0.260, 0.260], [0.008, 0.008, 0.008], [0.748, 0.748, 0.748], [0.485, 0.485, 0.485]],
  "total_magnetization_mub_per_atom": 0.0000,
  "energy_ev_per_atom": -5.00,
  "formation_energy_uncorrected_mev_per_atom": 398.2,
  "space_group": "R3m (160)"
}

---

[14]
{
  "formula": "Al2ReBr",
  "functional": "GGA-PBE",
  "state": "relaxed",
  "cell": [[4.836, -0.056, 0.000], [-0.969, 4.738, 0.000], [0.000, 0.000, 2.910]],
  "species": ["Al", "Al", "Br", "Re"],
  "frac_coords": [[0.500, 0.500, 0.000], [0.000, 0.000, 0.000], [0.500, 0.000, 0.500], [0.000, 0.500, 0.500]],
  "total_magnetization_mub_per_atom": 0.0001,
  "energy_ev_per_atom": -5.02,
  "formation_energy_uncorrected_mev_per_atom": 377.0,
  "space_group": "Cmmm (65)"
}

---

[15]
{
  "formula": "AlReBr2",
  "functional": "GGA-PBE",
  "state": "relaxed",
  "cell": [[-2.752, -1.096, -1.256], [0.910, -3.540, 1.093], [-3.323, 0.150, 7.151]],
  "species": ["Br", "Br", "Re", "Al"],
  "frac_coords": [[0.500, 0.383, 0.333], [0.000, 0.046, 0.908], [0.000, 0.302, 0.583], [0.500, 0.769, 0.676]],
  "total_magnetization_mub_per_atom": 0.0000,
  "energy_ev_per_atom": -4.88,
  "formation_energy_uncorrected_mev_per_atom": 2.5,
  "space_group": "Pm (6)"
}

---

[16]
{
  "formula": "Al2ReBr",
  "functional": "GGA-PBE",
  "state": "relaxed",
  "cell": [[4.948, -0.007, 0.000], [1.647, 4.666, 0.000], [-3.298, -2.329, 2.861]],
  "species": ["Al", "Al", "Br", "Re"],
  "frac_coords": [[0.000, 0.000, 0.000], [0.500, 0.500, 0.000], [0.250, 0.750, 0.500], [0.750, 0.250, 0.500]],
  "total_magnetization_mub_per_atom": 0.0463,
  "energy_ev_per_atom": -4.76,
  "formation_energy_uncorrected_mev_per_atom": 641.5,
  "space_group": "I4/mmm (139)"
}

---

[17]
{
  "formula": "AlReBr2",
  "functional": "GGA-PBE",
  "state": "relaxed",
  "cell": [[-1.817, 3.500, 1.324], [-3.608, -2.195, 0.850], [1.413, -0.777, 3.994]],
  "species": ["Re", "Al", "Br", "Br"],
  "frac_coords": [[0.500, 0.500, 0.000], [0.500, 0.000, 0.500], [0.000, 0.000, 0.000], [0.000, 0.500, 0.500]],
  "total_magnetization_mub_per_atom": 0.1361,
  "energy_ev_per_atom": -3.63,
  "formation_energy_uncorrected_mev_per_atom": 1257.3,
  "space_group": "P4/mmm (123)"
}

---

[18]
{
  "formula": "AlReBr2",
  "functional": "GGA-PBE",
  "state": "relaxed",
  "cell": [[-2.203, -4.413, 0.169], [4.431, -2.169, -0.115], [0.111, 0.063, 3.083]],
  "species": ["Re", "Al", "Br", "Br"],
  "frac_coords": [[0.500, 0.000, 0.500], [0.000, 0.500, 0.500], [0.500, 0.500, 0.000], [0.000, 0.000, 0.000]],
  "total_magnetization_mub_per_atom": 0.0000,
  "energy_ev_per_atom": -3.75,
  "formation_energy_uncorrected_mev_per_atom": 1135.8,
  "space_group": "Cmmm (65)"
}

---

[19]
{
  "formula": "AlReBr2",
  "functional": "GGA-PBE",
  "state": "relaxed",
  "cell": [[5.069, -0.001, 0.000], [1.436, 4.862, 0.000], [-3.253, -2.430, 3.035]],
  "species": ["Br", "Br", "Al", "Re"],
  "frac_coords": [[0.250, 0.750, 0.500], [0.000, 0.000, 0.000], [0.750, 0.250, 0.500], [0.500, 0.500, 0.000]],
  "total_magnetization_mub_per_atom": 0.0003,
  "energy_ev_per_atom": -3.72,
  "formation_energy_uncorrected_mev_per_atom": 1167.1,
  "space_group": "I-4m2 (119)"
}

---

[20]
{
  "formula": "AlReBr2",
  "functional": "GGA-PBE",
  "state": "relaxed",
  "cell": [[3.270, -0.005, 0.000], [-1.841, 2.703, 0.000], [0.000, 0.000, 9.655]],
  "species": ["Br", "Br", "Al", "Re"],
  "frac_coords": [[0.000, 0.000, 0.038], [0.000, 0.000, 0.462], [0.500, 0.500, 0.750], [0.500, 0.500, 0.250]],
  "total_magnetization_mub_per_atom": 0.0000,
  "energy_ev_per_atom": -4.16,
  "formation_energy_uncorrected_mev_per_atom": 721.0,
  "space_group": "Cmmm (65)"
}